1.
{"formula": "LaPr3Ho6", "functional": "PBE", "state": "relaxed", "space_group": "R3, No. 146", "formation_energy_kj_per_mol_fu": 291, "lattice": [[8.8112, 0.0000, 4.6758], [3.1650, 8.2232, 4.6758], [2.2488, 1.5441, 6.4023]], "species": ["La", "Pr", "Pr", "Pr", "Ho", "Ho", "Ho", "Ho", "Ho", "Ho"], "frac_coords": [[0.8994, 0.8994, 0.3018], [0.3994, 0.3994, 0.8019], [0.6505, 0.6505, 0.0486], [0.1481, 0.1481, 0.5557], [0.9004, 0.5723, 0.2988], [0.2285, 0.9004, 0.2988], [0.5723, 0.2285, 0.2988], [0.0750, 0.4004, 0.7986], [0.7260, 0.0750, 0.7986], [0.4004, 0.7260, 0.7986]]}

***

2.
{"formula": "NaSmF4", "functional": "PBE", "state": "relaxed", "raw_formation_energy_ev_per_atom": -3.693, "space_group": "P1, No. 1", "lattice": [[-1.5035, 2.1768, -5.5233], [4.8732, -0.9879, -5.0911], [-1.3346, -4.9328, -4.9619]], "species": ["Na", "Na", "Na", "Sm", "Sm", "Sm", "F", "F", "F", "F", "F", "F", "F", "F", "F", "F", "F", "F"], "frac_coords": [[0.6651, 0.4786, 0.1720], [0.6636, 0.0000, 0.6848], [0.3306, 0.4295, 0.9050], [0.0026, 0.9998, 0.9978], [0.9977, 0.5005, 0.5038], [0.3364, 0.9216, 0.4085], [0.3622, 0.0071, 0.0343], [0.3596, 0.5463, 0.5008], [0.5968, 0.1623, 0.1947], [0.5941, 0.7078, 0.6535], [0.0414, 0.2800, 0.3178], [0.0505, 0.8228, 0.7696], [0.2538, 0.6265, 0.1305], [0.2772, 0.1312, 0.6238], [0.9789, 0.3808, 0.8822], [0.9774, 0.8886, 0.3829], [0.7546, 0.7356, 0.2315], [0.7575, 0.2438, 0.7437]]}

***

3.
{"formula": "MgCo2W", "functional": "PBE", "state": "relaxed", "space_group": "P4mm, No. 99", "formation_energy_kj_per_mol_fu": 90, "lattice": [[2.7097, 0.0000, 0.0000], [0.0000, 2.7097, 0.0000], [0.0000, 0.0000, 7.5993]], "species": ["Co", "Co", "Mg", "W"], "frac_coords": [[0.0000, 0.0000, 0.0257], [0.5000, 0.5000, 0.2189], [0.0000, 0.0000, 0.4750], [0.5000, 0.5000, 0.7804]]}

***

4.
{"formula": "LiTaRh2", "functional": "PBE", "state": "relaxed", "space_group": "F-43m, No. 216", "formation_energy_kj_per_mol_fu": -18, "lattice": [[-2.1278, 0.0243, -3.8078], [0.9584, -2.9646, -3.0529], [-2.8457, -3.1729, -0.9286]], "species": ["Li", "Rh", "Rh", "Ta"], "frac_coords": [[0.5000, 0.5000, 0.5000], [0.0000, 0.0000, 0.0000], [0.2500, 0.2500, 0.2500], [0.7500, 0.7500, 0.7500]]}

***

5.
{"formula": "Pr2CdPb4", "functional": "PBE", "state": "relaxed", "space_group": "Fmm2, No. 42", "formation_energy_kj_per_mol_fu": -245, "lattice": [[6.7306, 0.1246, 0.0000], [0.0199, 6.7317, 0.0000], [-3.3752, -3.4282, 4.7996]], "species": ["Pr", "Pr", "Cd", "Pb", "Pb", "Pb", "Pb"], "frac_coords": [[0.2141, 0.7859, 0.5000], [0.7141, 0.2859, 0.5000], [0.2143, 0.7857, 0.0000], [0.7562, 0.8438, 0.0000], [0.1562, 0.2438, 0.0000], [0.2720, 0.3271, 0.5991], [0.6729, 0.7280, 0.4009]]}

***

6.
{"formula": "Mn4Hg", "functional": "PBE", "state": "relaxed", "space_group": "I4/mmm, No. 139", "formation_energy_kj_per_mol_fu": 199, "lattice": [[2.6228, 0.6960, 4.7494], [-2.1959, 3.0589, 3.9675], [-1.4520, -4.0704, -3.3532]], "species": ["Mn", "Mn", "Mn", "Mn", "Hg"], "frac_coords": [[0.7500, 0.2500, 0.5000], [0.6165, 0.6165, 0.0000], [0.3835, 0.3835, 0.0000], [0.2500, 0.7500, 0.5000], [0.0000, 0.0000, 0.0000]]}

***

7.
{"formula": "Sm6Fe23", "functional": "PBE", "state": "relaxed", "space_group": "Fm-3m, No. 225", "formation_energy_kj_per_mol_fu": 60, "lattice": [[-4.3771, 3.3408, 6.5557], [-4.3906, -5.1235, 5.2697], [2.7150, -1.2238, 8.0268]], "species": ["Sm", "Sm", "Sm", "Sm", "Sm", "Sm", "Fe", "Fe", "Fe", "Fe", "Fe", "Fe", "Fe", "Fe", "Fe", "Fe", "Fe", "Fe", "Fe", "Fe", "Fe", "Fe", "Fe", "Fe", "Fe", "Fe", "Fe", "Fe", "Fe"], "frac_coords": [[0.7092, 0.7092, 0.2908], [0.2908, 0.7092, 0.2908], [0.7092, 0.2908, 0.2908], [0.2908, 0.2908, 0.7092], [0.7092, 0.2908, 0.7092], [0.2908, 0.7092, 0.7092], [0.0000, 0.0000, 0.0000], [0.0000, 0.0000, 0.5000], [0.5000, 0.0000, 0.5000], [0.0000, 0.5000, 0.5000], [0.5000, 0.5000, 0.0000], [0.0000, 0.5000, 0.0000], [0.5000, 0.0000, 0.0000], [0.8779, 0.8779, 0.3662], [0.8779, 0.3662, 0.8779], [0.3662, 0.8779, 0.8779], [0.8779, 0.8779, 0.8779], [0.1221, 0.1221, 0.6338], [0.1221, 0.6338, 0.1221], [0.6338, 0.1221, 0.1221], [0.1221, 0.1221, 0.1221], [0.6769, 0.6769, 0.9692], [0.6769, 0.9692, 0.6769], [0.9692, 0.6769, 0.6769], [0.6769, 0.6769, 0.6769], [0.3231, 0.3231, 0.0308], [0.3231, 0.0308, 0.3231], [0.0308, 0.3231, 0.3231], [0.3231, 0.3231, 0.3231]]}

***

8.
{"formula": "GdInCoRh", "functional": "PBE", "state": "relaxed", "space_group": "F-43m, No. 216", "formation_energy_kj_per_mol_fu": -143, "lattice": [[-3.8241, -0.3162, 2.6448], [-1.2101, -4.0950, 1.8667], [0.3936, -0.6737, 4.5945]], "species": ["Co", "Gd", "Rh", "In"], "frac_coords": [[0.7500, 0.7500, 0.7500], [0.0000, 0.0000, 0.0000], [0.2500, 0.2500, 0.2500], [0.5000, 0.5000, 0.5000]]}

***

Mass density for the records above, in order: 7.65; 5.22; 9.70; 11.14; 9.34; 9.99; 8.18; 10.07 g/cm3
Total moment for the records above, in order: 0.027; 0.035; 3.100; 0.000; 0.000; 1.220; 51.986; 7.004 μB/f.u.